VASP calculation (PBE) on a geometry-optimized TaInCu2 structure.

Summary:
* energy of formation from the pure elements: 0.102 eV per atom
* spin magnetization: 0.0 μB/f.u.
* theoretical density: 11.04 g cm⁻³
* E: -5.594 eV/atom

Lattice parameters (Å, degrees): 2.9725 2.9725 7.1972 90.00 90.00 90.00
Fractional positions:
Cu 0.0000 0.0000 0.0237
Ta 0.5000 0.5000 0.7859
Cu 0.5000 0.5000 0.2145
In 0.0000 0.0000 0.4758

***

VASP calculation (PBE) on a geometry-optimized InF structure.

Summary:
* spin magnetization: 0.0 μB/f.u.
* theoretical density: 3.30 g cm⁻³
* E: -3.809 eV/atom
* E_form (uncorrected): -1.50 eV/atom

Lattice parameters (Å, degrees): 7.3956 7.3956 7.3956 90.00 90.00 90.00
Fractional positions:
F 0.7500 0.5000 0.0000
In 0.2500 0.0000 0.5000
F 0.0000 0.7500 0.5000
F 0.5000 0.0000 0.2500
F 0.0000 0.2500 0.5000
F 0.2500 0.5000 0.0000
In 0.0000 0.5000 0.2500
In 0.7500 0.0000 0.5000
In 0.0000 0.5000 0.7500
F 0.5000 0.0000 0.7500
In 0.5000 0.7500 0.0000
In 0.5000 0.2500 0.0000

***

VASP calculation (PBE) on a geometry-optimized YW2Au structure.

Summary:
* energy of formation from the pure elements: 0.437 eV per atom
* spin magnetization: 0.0 μB/f.u.
* energy above the lowest structure with this stoichiometry: 0.299 eV/atom
* theoretical density: 14.17 g cm⁻³
* E: -8.474 eV/atom

Lattice parameters (Å, degrees): 5.0252 5.0252 5.5636 84.05 84.05 33.26
Fractional positions:
Au 0.2584 0.2584 0.2527
Y 0.5090 0.5090 0.4831
W 0.7442 0.7442 0.7948
W 0.9884 0.9884 0.9694